This record from Alexandria describes a relaxed structure of La8FeNi2. The functional is PBE.

Unit cell a=7.2931 b=7.3262 c=7.3983 alpha=90.97 beta=119.53 gamma=90.11
Closest atoms and distances in Å follow each position.
Atoms (fractional coordinates):
1 La 0.2053 0.3943 0.4105  1 Fe 2.77, 1 Ni 2.80
2 La 0.2177 0.2498 0.9248  1 Fe 2.65, 1 Ni 2.95
3 La 0.2893 0.9061 0.5796  1 Ni 2.71
4 La 0.2926 0.7522 0.0759  1 Fe 2.66, 1 Ni 2.94
5 La 0.7074 0.2478 0.9241  1 Fe 2.66, 1 Ni 2.94
6 La 0.7107 0.0939 0.4204  1 Ni 2.71
7 La 0.7823 0.7502 0.0752  1 Fe 2.65, 1 Ni 2.95
8 La 0.7947 0.6057 0.5895  1 Fe 2.77, 1 Ni 2.80
9 Fe 0.0000 0.5000 0.0000  6 La 2.65-2.77
10 Ni 0.0990 0.0571 0.1994  1 Ni 2.68, 5 La 2.71-3.01
11 Ni 0.9010 0.9429 0.8006  1 Ni 2.68, 5 La 2.71-3.01

Values from the calculation:
The calculation puts the density at 6.202 g cm⁻³. The value obtained for the magnetic moment is 0.00 μB per formula unit. Its symmetry is P-1, No. 2. The formation energy comes out at -0.07 eV/atom.